No. 1
VASP calculation (PBE) on an optimized crystal structure of NaInGe2Br6.

Properties
D(E_F) ... 0.00 states/eV per cell
Calculated volume ... 34.3 A^3/atom
Magnetization ... 0.0 Bohr magnetons per cell
Formation energy without anion corrections ... -749 meV per atom
E_tot ... -3.08 eV per atom

```
data_NaInGe2Br6
_chemical_formula_sum 'Na4 In4 Ge8 Br24'
_cell_length_a 15.6813
_cell_length_b 11.7553
_cell_length_c 8.2804
_cell_angle_alpha 90.00
_cell_angle_beta 115.85
_cell_angle_gamma 90.00
_symmetry_space_group_name_H-M 'C 1 2/c 1'
_symmetry_Int_Tables_number 15
_symmetry_space_group_name_Hall '-C 2yc'
loop_
_atom_site_label
_atom_site_type_symbol
_atom_site_fract_x
_atom_site_fract_y
_atom_site_fract_z
_atom_site_occupancy
Na1 Na 0.0000 0.1903 0.2500 1
In1 In 0.0000 0.4213 0.7500 1
Ge1 Ge 0.2347 0.0844 0.1435 1
Br1 Br 0.1191 0.0113 0.7414 1
Br2 Br 0.1266 0.3703 0.5233 1
Br3 Br 0.1490 0.2724 0.0898 1
```


No. 2
VASP calculation (PBE) on an optimized crystal structure of Dy2PaAl.

Properties
D(E_F) ... 4.07 states/eV per cell
Calculated volume ... 25.4 A^3/atom
Formation energy ... -10 meV/atom
Magnetization ... 0.0 Bohr magnetons per cell
E_tot ... -5.62 eV per atom
Offset from the most stable computed form ... 0.057 eV per atom

```
data_Dy2PaAl
_chemical_formula_sum 'Dy2 Pa1 Al1'
_cell_length_a 4.7389
_cell_length_b 4.7389
_cell_length_c 4.5252
_cell_angle_alpha 90.00
_cell_angle_beta 90.00
_cell_angle_gamma 90.00
_symmetry_space_group_name_H-M 'P 4/m m m'
_symmetry_Int_Tables_number 123
_symmetry_space_group_name_Hall '-P 4 2'
loop_
_atom_site_label
_atom_site_type_symbol
_atom_site_fract_x
_atom_site_fract_y
_atom_site_fract_z
_atom_site_occupancy
Dy1 Dy 0.0000 0.5000 0.0000 1
Pa1 Pa 0.0000 0.0000 0.5000 1
Al1 Al 0.5000 0.5000 0.5000 1
```


No. 3
VASP calculation (PBE) on an optimized crystal structure of Mn2AgPb.

Properties
D(E_F) ... 13.64 states/eV per cell
Calculated volume ... 20.3 A^3/atom
Formation energy ... 647 meV/atom
Magnetization ... 30.2 Bohr magnetons per cell
E_tot ... -5.58 eV per atom

```
data_Mn2AgPb
_chemical_formula_sum 'Mn8 Ag4 Pb4'
_cell_length_a 7.5159
_cell_length_b 7.5159
_cell_length_c 5.7584
_cell_angle_alpha 90.00
_cell_angle_beta 90.00
_cell_angle_gamma 90.00
_symmetry_space_group_name_H-M 'I -4 2 d'
_symmetry_Int_Tables_number 122
_symmetry_space_group_name_Hall 'I -4 2bw'
loop_
_atom_site_label
_atom_site_type_symbol
_atom_site_fract_x
_atom_site_fract_y
_atom_site_fract_z
_atom_site_occupancy
Mn1 Mn 0.2357 0.2500 0.1250 1
Ag1 Ag 0.0000 0.0000 0.0000 1
Pb1 Pb 0.0000 0.0000 0.5000 1
```